Entry 1:
## TlIrBr2 (GGA-PBE)

Data for a geometry-optimized TlIrBr2 structure.

E in eV/cell: -29.171
Fermi-level density of states in states/eV/atom: 0.325

Unit cell a=12.644 b=3.666 c=5.843 alpha=90.00 beta=117.43 gamma=90.00
Space group C2/m (No. 12)
Asymmetric unit:
Tl 0.000 0.000 0.000
Ir 0.000 0.500 0.500
Br 0.151 0.000 0.650



Entry 2:
## Tl3IrBr6 (GGA-PBE)

Data for a geometry-optimized Tl3IrBr6 structure.

E in eV/cell: -63.928

Unit cell a=7.398 b=8.333 c=12.973 alpha=90.00 beta=122.21 gamma=90.00
Space group P2_1/c (No. 14)
Asymmetric unit:
Tl 0.000 0.000 0.000
Tl 0.210 0.074 0.744
Ir 0.500 0.000 0.500
Br 0.183 0.157 0.468
Br 0.280 0.745 0.435
Br 0.391 0.052 0.283



Entry 3:
## TlIrBr (GGA-PBE)

Data for a geometry-optimized TlIrBr structure.

E in eV/cell: -22.991
Fermi-level density of states in states/eV/atom: 0.832

Unit cell a=3.067 b=4.467 c=12.737 alpha=90.00 beta=90.00 gamma=90.00
Space group Imm2 (No. 44)
Asymmetric unit:
Tl 0.000 0.000 0.000
Ir 0.000 0.000 0.544
Br 0.000 0.000 0.733



Entry 4:
## Tl2IrBr (GGA-PBE)

Data for a geometry-optimized Tl2IrBr structure.

E in eV/cell: -25.903
Fermi-level density of states in states/eV/atom: 0.985

Unit cell a=4.141 b=4.141 c=12.516 alpha=90.00 beta=90.00 gamma=90.00
Space group I-4m2 (No. 119)
Asymmetric unit:
Tl 0.000 0.000 0.000
Tl 0.000 0.500 0.250
Ir 0.000 0.000 0.500
Br 0.000 0.500 0.750



The formation energy (no corrections) results, record by record, are as follows: -0.01; -5.97; 1.40; 2.31 eV per formula unit.